Entry 1:
Here is an optimized crystal structure of LiAcTeSe from the Alexandria database. Energies are from GGA-PBE.

As for the total energy: -4.5190 eV/atom.

The structure belongs to space group F-43m (No. 216); the cell edges are 7.670, 7.670 and 7.670 Å and the angles 90.00°, 90.00° and 90.00°. The inequivalent atoms are Li at (0.000, 0.000, 0.000), Ac at (0.000, 0.000, 0.500), Te at (0.250, 0.250, 0.250) and Se at (0.250, 0.250, 0.750).

---

Entry 2:
Here is an optimized crystal structure of Sm12Tm6Sc from the Alexandria database. Energies are from GGA-PBE.

For the density of states at the Fermi level, the calculation gives 1.75 states/eV/atom. The formation energy is 0.143 eV/atom.

The structure belongs to space group R-3 (No. 148, hexagonal axes); the cell edges are 11.9843, 11.9843 and 15.0423 Å and the angles 90.00°, 90.00° and 120.00°. The inequivalent atoms are Sm at (0.9998, 0.1716, 0.1892), Sm at (0.0483, 0.1975, 0.4152), Tm at (0.0193, 0.5897, 0.6886) and Sc at (0.0000, 0.0000, 0.0000).

---

Entry 3:
Here is an optimized crystal structure of La2Mg3 from the Alexandria database. Energies are from GGA-PBE.

For the density of states at the Fermi level, the calculation gives 1.06 states/eV/atom. The formation energy is 0.015 eV/atom.

The structure belongs to space group Fdd2 (No. 43); the cell edges are 12.907, 27.227 and 3.317 Å and the angles 90.00°, 90.00° and 90.00°. The inequivalent atoms are La at (0.113, 0.401, 0.000), Mg at (0.000, 0.000, 0.941) and Mg at (0.067, 0.287, 0.654).